# Ce3Pr3SmS8

A geometry-optimized Ce3Pr3SmS8 structure (PBE, Alexandria).

Unit cell a=8.1291 b=8.1195 c=8.1106 alpha=120.03 beta=89.99 gamma=119.96
Last column: nearest neighbours and their distance in Å.
Positions (direct):
Ce1 0.5000 0.0000 0.5000  6 S 2.85
Sm1 0.0000 0.0000 0.5000  6 S 2.84
Ce2 0.0000 0.5000 0.5000  6 S 2.85
S1 0.7529 0.5057 0.2573  1 Sm 2.84, 2 Ce 2.85, 2 Pr 2.90
S2 0.2519 0.5040 0.2560  3 Ce 2.85, 3 Pr 2.89
S3 0.2515 0.0043 0.2572  1 Sm 2.84, 2 Ce 2.85, 2 Pr 2.90
Pr1 0.5000 0.5000 0.0000  6 S 2.89-2.90
S4 0.7485 0.9957 0.7428  1 Sm 2.84, 2 Ce 2.85, 2 Pr 2.90
Pr2 0.0000 0.0000 0.0000  6 S 2.89-2.90
S5 0.7481 0.4960 0.7440  3 Ce 2.85, 3 Pr 2.89
S6 0.7529 0.0045 0.2573  1 Sm 2.84, 2 Ce 2.85, 2 Pr 2.90
Pr3 0.0000 0.5000 0.0000  6 S 2.89-2.90
S7 0.2471 0.9955 0.7427  1 Sm 2.84, 2 Ce 2.85, 2 Pr 2.90
S8 0.2471 0.4943 0.7427  1 Sm 2.84, 2 Ce 2.85, 2 Pr 2.90
Ce3 0.5000 0.5000 0.5000  6 S 2.85

Output
**SG**: C2/m (12)
**Crystal system**: monoclinic
**Calculated total energy**: -0.246 hartree per atom

***

# CePrSm4S8

A geometry-optimized CePrSm4S8 structure (PBE, Alexandria).

Unit cell a=8.2802 b=8.2802 c=8.3136 alpha=60.13 beta=60.13 gamma=60.00
Last column: nearest neighbours and their distance in Å.
Positions (direct):
Ce1 0.3744 0.3744 0.8768  4 S 2.73-2.74
S1 0.7772 0.2439 0.7351  1 Ce 2.73, 2 Sm 2.81, 1 Pr 2.87
Sm1 0.0001 0.4998 0.5000  6 S 2.81-2.84
S2 0.7579 0.7579 0.7262  4 Sm 2.70-2.84
S3 0.2298 0.7537 0.2627  3 Sm 2.68-2.84, 1 Pr 2.89
Sm2 0.0001 0.0001 0.5000  6 S 2.81-2.84
Sm3 0.4998 0.0001 0.5000  6 S 2.81-2.84
S4 0.2439 0.7772 0.7351  1 Ce 2.73, 2 Sm 2.81, 1 Pr 2.87
Sm4 0.6256 0.6256 0.1233  4 S 2.68-2.70
S5 0.2439 0.2439 0.7351  1 Ce 2.73, 2 Sm 2.81, 1 Pr 2.87
S6 0.2399 0.2399 0.2802  1 Ce 2.74, 3 Sm 2.82
Pr1 0.0000 0.0000 0.0000  6 S 2.87-2.89
S7 0.7537 0.7537 0.2627  3 Sm 2.68-2.84, 1 Pr 2.89
S8 0.7537 0.2298 0.2627  3 Sm 2.68-2.84, 1 Pr 2.89

Output
**SG**: R3m (160)
**Crystal system**: trigonal
**Calculated total energy**: -0.234 hartree per atom

***

# CePr3Sm4S8

A geometry-optimized CePr3Sm4S8 structure (PBE, Alexandria).

Unit cell a=8.0846 b=8.1064 c=8.0843 alpha=119.91 beta=120.00 gamma=90.00
Last column: nearest neighbours and their distance in Å.
Positions (direct):
Sm1 0.5000 0.0000 0.5000  6 S 2.83
S1 0.2501 0.7558 0.0058  3 Sm 2.83-2.86, 1 Ce 2.86, 2 Pr 2.90
Pr1 0.5000 0.5000 0.5000  6 S 2.90
Sm2 0.0000 0.0000 0.0000  6 S 2.83
Pr2 0.0000 0.5000 0.5000  6 S 2.90
S2 0.7500 0.2442 0.4999  3 Sm 2.83-2.86, 1 Ce 2.86, 2 Pr 2.90
S3 0.2500 0.7558 0.5001  3 Sm 2.83-2.86, 1 Ce 2.86, 2 Pr 2.90
S4 0.7557 0.7558 0.0058  3 Sm 2.83-2.86, 1 Ce 2.86, 2 Pr 2.90
Ce1 0.0000 0.5000 0.0000  6 S 2.86
S5 0.7530 0.7589 0.5060  3 Sm 2.83, 3 Pr 2.90
S6 0.2470 0.2411 0.4940  3 Sm 2.83, 3 Pr 2.90
S7 0.2443 0.2442 0.9942  3 Sm 2.83-2.86, 1 Ce 2.86, 2 Pr 2.90
S8 0.7499 0.2442 0.9942  3 Sm 2.83-2.86, 1 Ce 2.86, 2 Pr 2.90
Sm3 0.0000 0.0000 0.5000  6 S 2.83
Pr3 0.5000 0.5000 0.0000  6 S 2.90
Sm4 0.5000 0.0000 0.0000  6 S 2.86

Output
**SG**: R-3m (166)
**Crystal system**: trigonal
**Calculated total energy**: -0.240 hartree per atom

***

# Sr2CePrS4

A geometry-optimized Sr2CePrS4 structure (PBE, Alexandria).

Unit cell a=4.1400 b=7.3202 c=7.1683 alpha=70.95 beta=90.00 gamma=90.00
Last column: nearest neighbours and their distance in Å.
Positions (direct):
S1 0.0000 0.2591 0.2449  2 Ce 2.91, 1 Pr 2.93, 3 Sr 2.98-2.99
S2 0.0000 0.7409 0.7550  2 Ce 2.91, 1 Pr 2.93, 3 Sr 2.98-2.99
Sr1 0.0000 0.0000 0.0000  6 S 2.98
S3 0.5000 0.2582 0.7498  1 Ce 2.90, 2 Pr 2.92, 3 Sr 2.98-3.00
S4 0.5000 0.7418 0.2502  1 Ce 2.90, 2 Pr 2.92, 3 Sr 2.98-3.00
Pr1 0.0000 0.5000 0.5000  6 S 2.92-2.93
Ce1 0.5000 0.5000 0.0000  6 S 2.90-2.91
Sr2 0.5000 0.0000 0.5000  6 S 2.99-3.00

Output
**SG**: P2/m (10)
**Crystal system**: monoclinic
**Calculated total energy**: -0.215 hartree per atom

***

# SrCePr2S4

A geometry-optimized SrCePr2S4 structure (PBE, Alexandria).

Unit cell a=4.1036 b=7.1441 c=7.1585 alpha=70.78 beta=90.00 gamma=90.00
Last column: nearest neighbours and their distance in Å.
Positions (direct):
S1 0.0000 0.7468 0.7551  2 Ce 2.89, 3 Pr 2.90-2.94, 1 Sr 2.93
Pr1 0.0000 0.0000 0.0000  6 S 2.90
Sr1 0.0000 0.5000 0.5000  6 S 2.93
Ce1 0.5000 0.5000 0.0000  6 S 2.89
S2 0.5000 0.2491 0.7554  1 Ce 2.89, 3 Pr 2.90-2.94, 2 Sr 2.93
S3 0.0000 0.2532 0.2449  2 Ce 2.89, 3 Pr 2.90-2.94, 1 Sr 2.93
Pr2 0.5000 0.0000 0.5000  6 S 2.94
S4 0.5000 0.7509 0.2446  1 Ce 2.89, 3 Pr 2.90-2.94, 2 Sr 2.93

Output
**SG**: P2/m (10)
**Crystal system**: monoclinic
**Calculated total energy**: -0.229 hartree per atom

***

# Tb3Ce4PrS8

A geometry-optimized Tb3Ce4PrS8 structure (PBE, Alexandria).

Unit cell a=7.9866 b=8.0133 c=7.9878 alpha=119.90 beta=120.00 gamma=90.00
Last column: nearest neighbours and their distance in Å.
Positions (direct):
Ce1 0.5000 0.0000 0.5000  6 S 2.87
S1 0.7478 0.2545 0.4956  2 Tb 2.79, 3 Ce 2.80-2.87, 1 Pr 2.85
S2 0.2522 0.7455 0.5044  2 Tb 2.79, 3 Ce 2.80-2.87, 1 Pr 2.85
Ce2 0.5000 0.0000 0.0000  6 S 2.80
Ce3 0.0000 0.0000 0.0000  6 S 2.87
S3 0.2589 0.2545 0.0067  2 Tb 2.79, 3 Ce 2.80-2.87, 1 Pr 2.85
Tb1 0.5000 0.5000 0.0000  6 S 2.79
Ce4 0.0000 0.0000 0.5000  6 S 2.87
S4 0.7468 0.7402 0.4935  3 Tb 2.79, 3 Ce 2.87
S5 0.7411 0.7455 0.9933  2 Tb 2.79, 3 Ce 2.80-2.87, 1 Pr 2.85
Tb2 0.0000 0.5000 0.5000  6 S 2.79
S6 0.2532 0.2598 0.5065  3 Tb 2.79, 3 Ce 2.87
Tb3 0.5000 0.5000 0.5000  6 S 2.79
S7 0.2522 0.7455 0.9933  2 Tb 2.79, 3 Ce 2.80-2.87, 1 Pr 2.85
Pr1 0.0000 0.5000 0.0000  6 S 2.85
S8 0.7478 0.2545 0.0067  2 Tb 2.79, 3 Ce 2.80-2.87, 1 Pr 2.85

Output
**SG**: R-3m (166)
**Crystal system**: trigonal
**Calculated total energy**: -0.248 hartree per atom

***

# Tb3CePr4S8

A geometry-optimized Tb3CePr4S8 structure (PBE, Alexandria).

Unit cell a=8.0312 b=8.0820 c=8.0312 alpha=119.79 beta=120.00 gamma=90.00
Last column: nearest neighbours and their distance in Å.
Positions (direct):
S1 0.2556 0.2667 0.5112  3 Tb 2.79, 3 Pr 2.91
Pr1 0.5000 0.0000 0.5000  6 S 2.91
S2 0.2470 0.7359 0.9889  2 Tb 2.79, 1 Ce 2.81, 3 Pr 2.89-2.91
Tb1 0.0000 0.5000 0.5000  6 S 2.79
Pr2 0.5000 0.0000 0.0000  6 S 2.89
S3 0.7419 0.7359 0.9889  2 Tb 2.79, 1 Ce 2.81, 3 Pr 2.89-2.91
Tb2 0.5000 0.5000 0.0000  6 S 2.79
Ce1 0.0000 0.5000 0.0000  6 S 2.81
Pr3 0.0000 0.0000 0.0000  6 S 2.91
Pr4 0.0000 0.0000 0.5000  6 S 2.91
S4 0.2470 0.7358 0.4939  2 Tb 2.79, 1 Ce 2.81, 3 Pr 2.89-2.91
S5 0.7444 0.7333 0.4888  3 Tb 2.79, 3 Pr 2.91
S6 0.7530 0.2641 0.0111  2 Tb 2.79, 1 Ce 2.81, 3 Pr 2.89-2.91
Tb3 0.5000 0.5000 0.5000  6 S 2.79
S7 0.7530 0.2642 0.5061  2 Tb 2.79, 1 Ce 2.81, 3 Pr 2.89-2.91
S8 0.2581 0.2641 0.0111  2 Tb 2.79, 1 Ce 2.81, 3 Pr 2.89-2.91

Output
**SG**: R-3m (166)
**Crystal system**: trigonal
**Calculated total energy**: -0.240 hartree per atom

***

# Tb2CePr3S6

A geometry-optimized Tb2CePr3S6 structure (PBE, Alexandria).

Unit cell a=6.9694 b=6.9694 c=7.0184 alpha=99.56 beta=99.56 gamma=120.10
Last column: nearest neighbours and their distance in Å.
Positions (direct):
S1 0.4164 0.0790 0.2368  2 Tb 2.79, 1 Ce 2.82, 3 Pr 2.88-2.92
Tb1 0.6671 0.3329 0.0000  6 S 2.79
Ce1 0.0000 0.0000 0.0000  6 S 2.82-2.83
S2 0.7409 0.7409 0.2361  2 Tb 2.79, 1 Ce 2.83, 3 Pr 2.88-2.91
Pr1 0.5000 0.5000 0.5000  6 S 2.88-2.91
S3 0.0790 0.4164 0.2368  2 Tb 2.79, 1 Ce 2.82, 3 Pr 2.88-2.92
S4 0.5836 0.9210 0.7632  2 Tb 2.79, 1 Ce 2.82, 3 Pr 2.88-2.92
Tb2 0.3329 0.6671 0.0000  6 S 2.79
Pr2 0.1664 0.8336 0.5000  6 S 2.88-2.92
S5 0.2591 0.2591 0.7639  2 Tb 2.79, 1 Ce 2.83, 3 Pr 2.88-2.91
Pr3 0.8336 0.1664 0.5000  6 S 2.88-2.92
S6 0.9210 0.5836 0.7632  2 Tb 2.79, 1 Ce 2.82, 3 Pr 2.88-2.92

Output
**SG**: C2/m (12)
**Crystal system**: monoclinic
**Calculated total energy**: -0.241 hartree per atom

***

# Tb3CePr2S6

A geometry-optimized Tb3CePr2S6 structure (PBE, Alexandria).

Unit cell a=3.9729 b=8.0819 c=8.9769 alpha=103.76 beta=102.78 gamma=90.00
Last column: nearest neighbours and their distance in Å.
Positions (direct):
S1 0.6688 0.0737 0.3375  3 Tb 2.76-2.78, 1 Ce 2.87, 2 Pr 2.89
S2 0.0040 0.7449 0.0080  3 Tb 2.78-2.79, 2 Ce 2.88, 1 Pr 2.89
Pr1 0.1660 0.3319 0.3321  6 S 2.89-2.91
S3 0.6634 0.5929 0.3268  3 Tb 2.78, 3 Pr 2.90-2.91
S4 0.3312 0.9263 0.6625  3 Tb 2.76-2.78, 1 Ce 2.87, 2 Pr 2.89
Tb1 0.5000 0.5000 0.0000  6 S 2.78-2.79
Tb2 0.1675 0.8351 0.3349  6 S 2.76-2.78
Tb3 0.8325 0.1649 0.6651  6 S 2.76-2.78
Pr2 0.8340 0.6681 0.6679  6 S 2.89-2.91
S5 0.3366 0.4071 0.6732  3 Tb 2.78, 3 Pr 2.90-2.91
S6 0.9960 0.2551 0.9920  3 Tb 2.78-2.79, 2 Ce 2.88, 1 Pr 2.89
Ce1 0.5000 0.0000 0.0000  6 S 2.87-2.88

Output
**SG**: C2/m (12)
**Crystal system**: monoclinic
**Calculated total energy**: -0.240 hartree per atom

***

# Tb2Ce3PrS6

A geometry-optimized Tb2Ce3PrS6 structure (PBE, Alexandria).

Unit cell a=6.9354 b=6.9354 c=6.9605 alpha=99.58 beta=99.58 gamma=120.03
Last column: nearest neighbours and their distance in Å.
Positions (direct):
Ce1 0.1634 0.8366 0.5000  6 S 2.83-2.88
Tb1 0.6669 0.3331 0.0000  6 S 2.78-2.80
Ce2 0.8366 0.1634 0.5000  6 S 2.83-2.88
S1 0.0822 0.4243 0.2463  2 Tb 2.79-2.80, 3 Ce 2.83-2.88, 1 Pr 2.87
S2 0.9178 0.5757 0.7537  2 Tb 2.79-2.80, 3 Ce 2.83-2.88, 1 Pr 2.87
Tb2 0.3331 0.6669 0.0000  6 S 2.78-2.80
S3 0.7386 0.7386 0.2428  2 Tb 2.78, 3 Ce 2.81-2.86, 1 Pr 2.86
S4 0.5757 0.9178 0.7537  2 Tb 2.79-2.80, 3 Ce 2.83-2.88, 1 Pr 2.87
S5 0.4243 0.0822 0.2463  2 Tb 2.79-2.80, 3 Ce 2.83-2.88, 1 Pr 2.87
Pr1 0.0000 0.0000 0.0000  6 S 2.86-2.87
Ce3 0.5000 0.5000 0.5000  6 S 2.81-2.87
S6 0.2614 0.2614 0.7572  2 Tb 2.78, 3 Ce 2.81-2.86, 1 Pr 2.86

Output
**SG**: C2/m (12)
**Crystal system**: monoclinic
**Calculated total energy**: -0.248 hartree per atom

***

# TbCe2PrS4

A geometry-optimized TbCe2PrS4 structure (PBE, Alexandria).

Unit cell a=4.0126 b=6.9760 c=6.9764 alpha=109.33 beta=90.00 gamma=90.00
Last column: nearest neighbours and their distance in Å.
Positions (direct):
S1 0.0000 0.7409 0.2450  2 Tb 2.81, 3 Ce 2.82-2.89, 1 Pr 2.87
Ce1 0.0000 0.5000 0.5000  6 S 2.82
S2 0.5000 0.2578 0.2506  1 Tb 2.80, 3 Ce 2.82-2.89, 2 Pr 2.87
Pr1 0.0000 0.0000 0.0000  6 S 2.87
S3 0.0000 0.2591 0.7550  2 Tb 2.81, 3 Ce 2.82-2.89, 1 Pr 2.87
Tb1 0.5000 0.5000 0.0000  6 S 2.80-2.81
S4 0.5000 0.7422 0.7494  1 Tb 2.80, 3 Ce 2.82-2.89, 2 Pr 2.87
Ce2 0.5000 0.0000 0.5000  6 S 2.89

Output
**SG**: P2/m (10)
**Crystal system**: monoclinic
**Calculated total energy**: -0.248 hartree per atom

***

# CePrTe2S

A geometry-optimized CePrTe2S structure (PBE, Alexandria).

Unit cell a=4.5793 b=4.5793 c=15.8685 alpha=90.00 beta=90.00 gamma=90.00
Last column: nearest neighbours and their distance in Å.
Positions (direct):
Ce1 0.0000 0.5000 0.8876  6 Te 2.97-3.30
Pr1 0.5000 0.0000 0.5998  4 S 2.78
Pr2 0.0000 0.5000 0.4002  4 S 2.78
Te1 0.0000 0.5000 0.0955  5 Ce 3.25-3.30
Te2 0.5000 0.0000 0.2993  1 Ce 2.97
Te3 0.0000 0.5000 0.7007  1 Ce 2.97
Ce2 0.5000 0.0000 0.1124  6 Te 2.97-3.30
S1 0.5000 0.5000 0.5000  4 Pr 2.78
Te4 0.5000 0.0000 0.9045  5 Ce 3.25-3.30
S2 0.0000 0.0000 0.5000  4 Pr 2.78

Output
**SG**: P4/nmm (129)
**Crystal system**: tetragonal
**Calculated total energy**: -0.209 hartree per atom